# 1
Entry from Alexandria via LeMat-Bulk: crystalline Ga3CuNi7 at its relaxed geometry (GGA-PBE).

It has space group C2/m (No. 12), with a = 8.0208 Å, b = 8.4749 Å, c = 4.6335 Å, α = 90.00°, β = 115.49° and γ = 90.00°. Symmetry generates all atoms from Ga at (0.0000, 0.0000, 0.0000), Ga at (0.0000, 0.2228, 0.5000), Cu at (0.0000, 0.5000, 0.0000), Ni at (0.0000, 0.5000, 0.5000), Ni at (0.1711, 0.2443, 0.1778) and Ni at (0.2017, 0.0000, 0.5482).

The value obtained for the electronic total energy is -107.14 eV per cell. Its formation energy is 0.0069 eV per atom.



# 2
Entry from Alexandria via LeMat-Bulk: crystalline Ca4Ag2Au3 at its relaxed geometry (GGA-PBE).

It has space group C2/c (No. 15), with a = 13.4639 Å, b = 11.3586 Å, c = 5.9511 Å, α = 90.00°, β = 90.97° and γ = 90.00°. Symmetry generates all atoms from Ca at (0.0869, 0.1199, 0.4891), Ca at (0.1403, 0.4000, 0.8228), Ag at (0.2057, 0.3251, 0.3191), Au at (0.0000, 0.3752, 0.2500) and Au at (0.1383, 0.1404, 0.9932).

The value obtained for the electronic total energy is -114.24 eV per cell. Its formation energy is -0.5576 eV per atom.



# 3
Entry from Alexandria via LeMat-Bulk: crystalline NaThBiPb at its relaxed geometry (GGA-PBE).

It has space group F-43m (No. 216), with a = 7.8355 Å, b = 7.8355 Å, c = 7.8355 Å, α = 90.00°, β = 90.00° and γ = 90.00°. Symmetry generates all atoms from Na at (0.0000, 0.0000, 0.0000), Th at (0.0000, 0.0000, 0.5000), Bi at (0.2500, 0.2500, 0.7500) and Pb at (0.2500, 0.2500, 0.2500).

The value obtained for the electronic total energy is -68.38 eV per cell. Its formation energy is -0.1916 eV per atom.



# 4
Entry from Alexandria via LeMat-Bulk: crystalline Mn2Co at its relaxed geometry (GGA-PBE).

It has space group P-3m1 (No. 164), with a = 2.4719 Å, b = 2.4719 Å, c = 6.0529 Å, α = 90.00°, β = 90.00° and γ = 120.00°. Symmetry generates all atoms from Mn at (0.3333, 0.6667, 0.3372) and Co at (0.0000, 0.0000, 0.0000).

The value obtained for the electronic total energy is -25.16 eV per cell. Its formation energy is 0.0956 eV per atom.



# 5
Entry from Alexandria via LeMat-Bulk: crystalline Rb3AuF at its relaxed geometry (GGA-PBE).

It has space group Pnma (No. 62), with a = 9.8400 Å, b = 4.5774 Å, c = 16.2309 Å, α = 90.00°, β = 90.00° and γ = 90.00°. Symmetry generates all atoms from Rb at (0.0190, 0.2500, 0.1057), Rb at (0.1761, 0.2500, 0.5111), Rb at (0.2112, 0.7500, 0.2968), Au at (0.0796, 0.7500, 0.6694) and F at (0.1357, 0.2500, 0.9476).

The calculation puts the excess energy over the best structure of this formula in the dataset at 0.11 eV per formula unit. The value obtained for the electronic total energy is -54.51 eV per cell. For the uncorrected formation energy, the calculation gives -1.115 eV/atom.



# 6
Entry from Alexandria via LeMat-Bulk: crystalline BaNaAs3 at its relaxed geometry (GGA-PBE).

It has space group Pm-3m (No. 221), with a = 5.9436 Å, b = 5.9436 Å, c = 5.9436 Å, α = 90.00°, β = 90.00° and γ = 90.00°. Symmetry generates all atoms from Ba at (0.0000, 0.0000, 0.0000), Na at (0.5000, 0.5000, 0.5000) and As at (0.0000, 0.0000, 0.5000).

The calculation puts the excess energy over the best structure of this formula in the dataset at 3.03 eV per formula unit. The value obtained for the electronic total energy is -13.80 eV per cell. Its formation energy is 0.6774 eV per atom.



# 7
Entry from Alexandria via LeMat-Bulk: crystalline TlHgIr at its relaxed geometry (GGA-PBE).

It has space group P3m1 (No. 156), with a = 3.1080 Å, b = 3.1080 Å, c = 7.4818 Å, α = 90.00°, β = 90.00° and γ = 120.00°. Symmetry generates all atoms from Tl at (0.0000, 0.0000, 0.0000), Hg at (0.3333, 0.6667, 0.3927) and Ir at (0.6667, 0.3333, 0.6954).

The calculation puts the excess energy over the best structure of this formula in the dataset at 0.43 eV per formula unit. The value obtained for the electronic total energy is -9.84 eV per cell. Its formation energy is 0.5632 eV per atom.



# 8
Entry from Alexandria via LeMat-Bulk: crystalline KY5 at its relaxed geometry (GGA-PBE).

It has space group Cm (No. 8), with a = 13.5632 Å, b = 3.6460 Å, c = 8.8839 Å, α = 90.00°, β = 104.78° and γ = 90.00°. Symmetry generates all atoms from K at (0.0000, 0.0000, 0.0000), Y at (0.0590, 0.0000, 0.5979), Y at (0.1689, 0.5000, 0.3436), Y at (0.2264, 0.5000, 0.9304), Y at (0.3255, 0.0000, 0.6497) and Y at (0.3771, 0.0000, 0.2936).

The calculation puts the excess energy over the best structure of this formula in the dataset at 0.00 eV per formula unit. The value obtained for the electronic total energy is -63.81 eV per cell. Its formation energy is 0.2519 eV per atom.



# 9
Entry from Alexandria via LeMat-Bulk: crystalline AcYLuCd at its relaxed geometry (GGA-PBE).

It has space group F-43m (No. 216), with a = 7.9700 Å, b = 7.9700 Å, c = 7.9700 Å, α = 90.00°, β = 90.00° and γ = 90.00°. Symmetry generates all atoms from Ac at (0.0000, 0.0000, 0.0000), Y at (0.0000, 0.0000, 0.5000), Lu at (0.2500, 0.2500, 0.7500) and Cd at (0.2500, 0.2500, 0.2500).

The value obtained for the electronic total energy is -64.32 eV per cell. Its formation energy is -0.0177 eV per atom.



# 10
Entry from Alexandria via LeMat-Bulk: crystalline HfTiNbIn at its relaxed geometry (GGA-PBE).

It has space group F-43m (No. 216), with a = 6.7791 Å, b = 6.7791 Å, c = 6.7791 Å, α = 90.00°, β = 90.00° and γ = 90.00°. Symmetry generates all atoms from Hf at (0.0000, 0.0000, 0.0000), Ti at (0.0000, 0.0000, 0.5000), Nb at (0.2500, 0.2500, 0.2500) and In at (0.2500, 0.2500, 0.7500).

The value obtained for the electronic total energy is -123.39 eV per cell. Its formation energy is -0.0480 eV per atom.



# 11
Entry from Alexandria via LeMat-Bulk: crystalline Y14ScIn at its relaxed geometry (GGA-PBE).

It has space group P4/mmm (No. 123), with a = 7.0388 Å, b = 7.0388 Å, c = 10.0226 Å, α = 90.00°, β = 90.00° and γ = 90.00°. Symmetry generates all atoms from Y at (0.0000, 0.0000, 0.0000), Y at (0.0000, 0.5000, 0.0000), Y at (0.0000, 0.5000, 0.5000), Y at (0.2492, 0.2492, 0.2565), Y at (0.5000, 0.5000, 0.0000), Sc at (0.0000, 0.0000, 0.5000) and In at (0.5000, 0.5000, 0.5000).

The value obtained for the electronic total energy is -100.03 eV per cell. Its formation energy is -0.0287 eV per atom.



# 12
Entry from Alexandria via LeMat-Bulk: crystalline LaAl4Se at its relaxed geometry (GGA-PBE).

It has space group F-43m (No. 216), with a = 7.9866 Å, b = 7.9866 Å, c = 7.9866 Å, α = 90.00°, β = 90.00° and γ = 90.00°. Symmetry generates all atoms from La at (0.0000, 0.0000, 0.0000), Al at (0.1263, 0.1263, 0.3737) and Se at (0.2500, 0.2500, 0.7500).

The value obtained for the electronic total energy is -98.35 eV per cell. For the uncorrected formation energy, the calculation gives -0.201 eV/atom.



no.,calculated density (g/cm³)
1,7.985
2,7.058
3,9.268
4,8.751
5,4.292
6,3.045
7,15.844
8,3.781
9,7.915
10,9.255
11,4.697
12,4.248